# 1
Computed, not measured: a relaxed structure of Na2PuPaO5 at the PBE level of DFT.

Cell and atoms, written as extended XYZ:
```
9
Lattice="-1.1610 4.0083 -0.5161 -0.5268 0.3823 4.1542 8.3303 2.5191 0.8246" Properties=species:S:1:pos:R:3 pbc="T T T"
O 3.9017 1.4507 2.4894
O 6.2809 1.8993 0.6218
O 2.0495 0.6197 0.2029
O 3.5847 3.2637 0.1543
O -0.8439 2.1953 1.8190
Pa 4.1652 1.2595 0.4123
Na 1.3353 2.8543 2.0348
Na 5.3072 4.0554 2.4279
Pu 0.0000 0.0000 0.0000
```

Output
Formation energy from raw total energies ... -243.0 kJ/mol of atoms
Crystal system ... tetragonal

# 2
Computed, not measured: a relaxed structure of Si3AsS at the PBE level of DFT.

Cell and atoms, written as extended XYZ:
```
5
Lattice="4.8751 0.0000 0.0000 0.0000 4.8751 0.0000 0.0000 0.0000 4.8751" Properties=species:S:1:pos:R:3 pbc="T T T"
Si 0.0000 0.0000 2.4375
Si 2.4375 0.0000 0.0000
Si 0.0000 2.4375 0.0000
S 2.4375 2.4375 2.4375
As 0.0000 0.0000 0.0000
```

Output
Energy above the most stable polymorph in this dataset ... 0.299 eV/atom
Formation energy from raw total energies ... 115.4 kJ/mol of atoms
Crystal system ... cubic

# 3
Computed, not measured: a relaxed structure of Li2NpGa9 at the PBE level of DFT.

Cell and atoms, written as extended XYZ:
```
12
Lattice="-0.6707 -3.3456 2.3138 2.7237 -2.1111 -2.2630 9.1843 3.5277 7.7633" Properties=species:S:1:pos:R:3 pbc="T T T"
Np 0.0000 0.0000 0.0000
Ga 7.1372 -0.3812 5.1906
Ga 1.2994 -1.0449 2.5387
Ga 2.9966 -0.4276 0.2503
Ga 8.9114 1.8442 5.2499
Ga 4.2568 0.0911 5.0385
Ga 5.9540 0.7083 2.7501
Ga 7.2142 1.2270 7.5383
Ga 1.0265 -2.7284 0.0254
Ga 4.1001 -1.5478 2.6234
Li 6.1176 2.3498 5.1710
Li 3.0668 1.1779 2.5922
```

Output
Crystal system ... tetragonal
Formation energy ... -167 meV/atom

# 4
Computed, not measured: a relaxed structure of AcCdInAg2 at the PBE level of DFT.

Cell and atoms, written as extended XYZ:
```
5
Lattice="-1.0014 2.4883 3.5603 -4.2189 -1.4267 -0.1896 4.1099 -5.4815 2.1965" Properties=species:S:1:pos:R:3 pbc="T T T"
Ac 0.0000 0.0000 0.0000
In 0.2491 -1.2312 3.7211
Cd -1.3596 -3.1887 1.8462
Ag -2.2907 -0.5238 2.5123
Ag 1.1803 -3.8961 3.0550
```

Output
Crystal system ... tetragonal
Formation energy ... -279 meV/atom

The calculation returns the following DOS at the Fermi energy values, one per record and in order: 12.36; 3.49; 10.21; 3.56 states/eV per cell.